Below is a relaxed TaCoGeO2 crystal, with properties calculated at the PBE with a Hubbard U level.

Lattice parameters (Å, degrees): 3.691 5.495 3.691 90.00 90.00 90.00
Last column: magnetic moment on the atom in μB.
Element x y z (fractional)
Ge1 0.000 0.000 0.000  0.01
Co1 0.500 0.500 0.500  1.79
O1 0.000 0.000 0.500  -0.02
O2 0.500 0.000 0.000  -0.02
Ta1 0.000 0.500 0.000  -0.44

Results
As for the total energy: -5.91 eV/atom. Its total magnetization is 1.1 μB/f.u. The density of states at the Fermi level comes out at 2.49 states/eV/f.u.